1.
A plane-wave DFT calculation with PBE was carried out for a relaxed structure of ZrTi9In2.

## Properties
**Volume**: 18.9 A^3/atom

a b c (Å): 5.645 5.645 8.834
angles (deg): 71.37 71.37 60.00
Each line ends with the local moment (μB).
Atoms (fractional coordinates):
In1 0.861 0.861 0.418  -0.01
In2 0.139 0.139 0.582  -0.01
Ti1 0.417 0.417 0.245  0.11
Ti2 0.583 0.583 0.755  0.11
Ti3 0.668 0.668 0.997  -0.09
Ti4 0.500 0.500 0.500  0.86
Ti5 0.583 0.079 0.755  0.11
Ti6 0.921 0.417 0.245  0.11
Ti7 0.332 0.332 0.003  -0.09
Ti8 0.079 0.583 0.755  0.11
Ti9 0.417 0.921 0.245  0.11
Zr1 0.000 0.000 0.000  0.06

---

2.
A plane-wave DFT calculation with PBE was carried out for a relaxed structure of ZrTi3In4.

## Properties
**Volume**: 20.5 A^3/atom

a b c (Å): 6.125 6.132 8.717
angles (deg): 90.00 90.00 90.00
Each line ends with the local moment (μB).
Atoms (fractional coordinates):
In1 0.312 0.998 0.000  0.00
In2 0.064 0.244 0.750  -0.01
In3 0.064 0.244 0.250  -0.01
In4 0.564 0.756 0.250  -0.01
In5 0.812 0.002 0.500  0.00
In6 0.816 0.500 0.500  0.01
In7 0.564 0.756 0.750  -0.01
In8 0.316 0.500 0.000  0.01
Zr1 0.817 0.504 0.000  0.05
Zr2 0.317 0.496 0.500  0.05
Ti1 0.565 0.249 0.753  0.21
Ti2 0.565 0.249 0.247  0.21
Ti3 0.065 0.751 0.747  0.21
Ti4 0.312 0.000 0.500  0.45
Ti5 0.065 0.751 0.253  0.21
Ti6 0.812 0.000 0.000  0.45

---

3.
A plane-wave DFT calculation with PBE was carried out for a relaxed structure of Zr6TiIn5.

## Properties
**Volume**: 21.9 A^3/atom

a b c (Å): 5.372 6.341 7.724
angles (deg): 90.00 92.67 90.00
Atoms (fractional coordinates):
Zr1 0.161 0.753 0.329
Zr2 0.161 0.247 0.329
Zr3 0.839 0.753 0.671
Zr4 0.500 0.243 0.000
Zr5 0.500 0.757 0.000
Zr6 0.839 0.247 0.671
In1 0.672 0.000 0.327
In2 0.328 0.000 0.673
In3 0.000 0.500 0.000
In4 0.664 0.500 0.337
In5 0.336 0.500 0.663
Ti1 0.000 0.000 0.000

---

4.
A plane-wave DFT calculation with PBE was carried out for a relaxed structure of ZrTi2In.

## Properties
**Volume**: 20.9 A^3/atom

a b c (Å): 7.610 7.610 6.107
angles (deg): 51.46 51.46 90.00
Atoms (fractional coordinates):
In1 0.750 0.250 0.500
In2 0.000 0.000 0.000
Zr1 0.500 0.500 0.000
Zr2 0.250 0.750 0.500
Ti1 0.875 0.879 0.750
Ti2 0.121 0.625 0.250
Ti3 0.629 0.125 0.250
Ti4 0.375 0.371 0.750

---

5.
A plane-wave DFT calculation with PBE was carried out for a relaxed structure of ZrTi2In.

## Properties
**Volume**: 19.5 A^3/atom

a b c (Å): 4.225 4.297 4.297
angles (deg): 90.00 90.00 90.00
Atoms (fractional coordinates):
In1 0.500 0.000 0.000
Ti1 0.000 0.500 0.000
Ti2 0.000 0.000 0.500
Zr1 0.500 0.500 0.500

---

6.
A plane-wave DFT calculation with PBE was carried out for a relaxed structure of Tl7In.

## Properties
**Energy relative to the lowest polymorph listed for this composition**: 10 meV/atom
**Volume**: 30.1 A^3/atom

a b c (Å): 6.981 6.981 6.981
angles (deg): 60.00 60.00 60.00
Atoms (fractional coordinates):
Tl1 0.500 0.500 0.000
Tl2 0.000 0.500 0.000
Tl3 0.000 0.500 0.500
Tl4 0.500 0.500 0.500
Tl5 0.000 0.000 0.500
Tl6 0.500 0.000 0.000
Tl7 0.500 0.000 0.500
In1 0.000 0.000 0.000

---

7.
A plane-wave DFT calculation with PBE was carried out for a relaxed structure of TlIn2.

## Properties
**Energy relative to the lowest polymorph listed for this composition**: 152 meV/atom
**Volume**: 31.2 A^3/atom

a b c (Å): 3.299 7.463 7.591
angles (deg): 90.00 90.00 90.00
Atoms (fractional coordinates):
In1 0.500 0.657 0.873
In2 0.000 0.157 0.627
In3 0.000 0.843 0.373
In4 0.500 0.343 0.127
Tl1 0.000 0.000 0.000
Tl2 0.500 0.500 0.500

---

8.
A plane-wave DFT calculation with PBE was carried out for a relaxed structure of TlIn4.

## Properties
**Energy relative to the lowest polymorph listed for this composition**: 42 meV/atom
**Volume**: 30.2 A^3/atom

a b c (Å): 6.893 7.362 7.362
angles (deg): 125.99 90.00 90.00
Atoms (fractional coordinates):
Tl1 0.250 0.250 0.750
Tl2 0.750 0.750 0.250
In1 0.500 0.750 0.750
In2 0.750 0.141 0.859
In3 0.500 0.250 0.250
In4 0.000 0.250 0.250
In5 0.000 0.750 0.750
In6 0.250 0.859 0.141
In7 0.250 0.641 0.359
In8 0.750 0.359 0.641

---

9.
A plane-wave DFT calculation with PBE was carried out for a relaxed structure of TlIn7.

## Properties
**Volume**: 27.5 A^3/atom

a b c (Å): 6.775 6.775 6.775
angles (deg): 60.00 60.00 60.00
Atoms (fractional coordinates):
In1 0.000 0.500 0.000
In2 0.500 0.000 0.000
In3 0.500 0.500 0.000
In4 0.500 0.500 0.500
In5 0.000 0.500 0.500
In6 0.000 0.000 0.500
In7 0.500 0.000 0.500
Tl1 0.000 0.000 0.000

---

10.
A plane-wave DFT calculation with PBE was carried out for a relaxed structure of Tl7In4.

## Properties
**Volume**: 32.2 A^3/atom

a b c (Å): 5.349 8.750 8.750
angles (deg): 120.00 90.00 90.00
Atoms (fractional coordinates):
In1 0.500 0.415 0.208
In2 0.500 0.792 0.208
In3 0.500 0.792 0.585
In4 0.000 0.333 0.667
Tl1 0.000 0.536 0.072
Tl2 0.000 0.928 0.464
Tl3 0.500 0.602 0.801
Tl4 0.000 0.536 0.464
Tl5 0.500 0.199 0.398
Tl6 0.500 0.199 0.801
Tl7 0.000 0.000 0.000

---

11.
A plane-wave DFT calculation with PBE was carried out for a relaxed structure of TlIn.

## Properties
**Volume**: 31.3 A^3/atom

a b c (Å): 4.458 4.458 4.458
angles (deg): 60.00 60.00 60.00
Atoms (fractional coordinates):
Tl1 0.000 0.000 0.000
In1 0.500 0.500 0.500

---

12.
A plane-wave DFT calculation with PBE was carried out for a relaxed structure of TlIn.

## Properties
**Volume**: 29.3 A^3/atom

a b c (Å): 3.345 5.505 6.470
angles (deg): 90.00 100.81 90.00
Atoms (fractional coordinates):
Tl1 0.362 0.250 0.650
Tl2 0.638 0.750 0.350
In1 0.023 0.250 0.133
In2 0.977 0.750 0.867

---

13.
A plane-wave DFT calculation with PBE was carried out for a relaxed structure of TlIn.

## Properties
**Volume**: 30.7 A^3/atom

a b c (Å): 12.151 12.151 3.332
angles (deg): 90.00 90.00 90.00
Atoms (fractional coordinates):
In1 0.592 0.137 0.500
In2 0.366 0.090 0.000
In3 0.910 0.366 0.000
In4 0.408 0.863 0.500
In5 0.137 0.408 0.500
In6 0.634 0.910 0.000
In7 0.090 0.634 0.000
In8 0.863 0.592 0.500
Tl1 0.389 0.332 0.500
Tl2 0.833 0.114 0.000
Tl3 0.167 0.886 0.000
Tl4 0.114 0.167 0.000
Tl5 0.668 0.389 0.500
Tl6 0.332 0.611 0.500
Tl7 0.611 0.668 0.500
Tl8 0.886 0.833 0.000

---

14.
A plane-wave DFT calculation with PBE was carried out for a relaxed structure of TlIn2.

## Properties
**Energy relative to the lowest polymorph listed for this composition**: 7 meV/atom
**Volume**: 28.7 A^3/atom

a b c (Å): 5.513 5.513 3.275
angles (deg): 90.00 90.00 120.00
Atoms (fractional coordinates):
In1 0.333 0.667 0.500
In2 0.667 0.333 0.500
Tl1 0.000 0.000 0.000

---

15.
A plane-wave DFT calculation with PBE was carried out for a relaxed structure of Tl6In.

## Properties
**Energy relative to the lowest polymorph listed for this composition**: 330 meV/atom
**Volume**: 44.2 A^3/atom

a b c (Å): 7.382 7.382 7.382
angles (deg): 109.47 109.47 109.47
Atoms (fractional coordinates):
Tl1 0.500 0.250 0.750
Tl2 0.250 0.500 0.750
Tl3 0.500 0.750 0.250
Tl4 0.250 0.750 0.500
Tl5 0.750 0.250 0.500
Tl6 0.750 0.500 0.250
In1 0.000 0.000 0.000

---

16.
A plane-wave DFT calculation with PBE was carried out for a relaxed structure of TlIn8.

## Properties
**Energy relative to the lowest polymorph listed for this composition**: 0 meV/atom
**Volume**: 27.6 A^3/atom

a b c (Å): 5.286 7.351 7.351
angles (deg): 82.57 68.93 68.93
Atoms (fractional coordinates):
In1 0.000 0.664 0.336
In2 0.668 0.663 0.000
In3 0.332 0.337 0.000
In4 0.664 0.336 0.336
In5 0.668 0.000 0.663
In6 0.000 0.336 0.664
In7 0.332 0.000 0.337
In8 0.336 0.664 0.664
Tl1 0.000 0.000 0.000

---

17.
A plane-wave DFT calculation with PBE was carried out for a relaxed structure of Tl2In13.

## Properties
**Volume**: 33.7 A^3/atom

a b c (Å): 8.510 8.510 9.442
angles (deg): 63.21 63.21 60.00
Atoms (fractional coordinates):
In1 0.740 0.740 0.404
In2 0.117 0.740 0.404
In3 0.260 0.260 0.596
In4 0.516 0.516 0.826
In5 0.883 0.260 0.596
In6 0.740 0.117 0.404
In7 0.858 0.484 0.174
In8 0.484 0.484 0.174
In9 0.142 0.516 0.826
In10 0.484 0.858 0.174
In11 0.260 0.883 0.596
In12 0.500 0.500 0.500
In13 0.516 0.142 0.826
Tl1 0.744 0.744 0.769
Tl2 0.256 0.256 0.231

---

18.
A plane-wave DFT calculation with PBE was carried out for a relaxed structure of TlIn.

## Properties
**Volume**: 28.9 A^3/atom

a b c (Å): 6.156 6.156 6.156
angles (deg): 134.78 134.78 65.87
Atoms (fractional coordinates):
Tl1 0.750 0.250 0.500
Tl2 0.500 0.500 0.000
In1 0.000 0.000 0.000
In2 0.250 0.750 0.500

---

19.
A plane-wave DFT calculation with PBE was carried out for a relaxed structure of TlIn2.

## Properties
**Energy relative to the lowest polymorph listed for this composition**: 24 meV/atom
**Volume**: 28.3 A^3/atom

a b c (Å): 5.827 5.827 5.827
angles (deg): 146.65 127.92 63.27
Atoms (fractional coordinates):
Tl1 0.000 0.000 0.000
In1 0.332 0.332 0.000
In2 0.668 0.668 0.000

---

20.
A plane-wave DFT calculation with PBE was carried out for a relaxed structure of Tl5In.

## Properties
**Energy relative to the lowest polymorph listed for this composition**: 99 meV/atom
**Volume**: 32.3 A^3/atom

a b c (Å): 6.493 6.493 6.493
angles (deg): 60.00 60.00 60.00
Atoms (fractional coordinates):
Tl1 0.125 0.625 0.625
Tl2 0.625 0.125 0.625
Tl3 0.250 0.250 0.250
Tl4 0.625 0.625 0.125
Tl5 0.625 0.625 0.625
In1 0.000 0.000 0.000

---

no.,density of states at the Fermi level (states/eV/f.u.),formation enthalpy at 0 K (kcal/mol of atoms)
1,15.5,2.55
2,9.3,-1.54
3,12.4,-5.98
4,3.6,8.88
5,4.7,-3.22
6,3.2,0.53
7,1.1,3.53
8,2.1,1.39
9,2.6,0.21
10,6.5,1.90
11,1.0,3.24
12,0.6,0.25
13,1.0,1.35
14,1.6,0.20
15,3.8,9.21
16,3.5,0.40
17,5.3,3.10
18,1.0,0.72
19,1.3,0.58
20,4.4,2.41